*i*
LiMg8Zn2: optimized geometry, PBE.

Total magnetic moment   0.000 μB/f.u.
Density of states at the Fermi level   3.18 states/eV/f.u.
Mass density   2.4 g/cm³

Geometry as CIF:
```
data_LiMg8Zn2
_chemical_formula_sum 'Li2 Mg16 Zn4'
_cell_length_a 14.958
_cell_length_b 4.564
_cell_length_c 7.178
_cell_angle_alpha 90.00
_cell_angle_beta 111.11
_cell_angle_gamma 90.00
_symmetry_space_group_name_H-M 'C 1 2/m 1'
_symmetry_Int_Tables_number 12
_symmetry_space_group_name_Hall '-C 2y'
loop_
_atom_site_label
_atom_site_type_symbol
_atom_site_fract_x
_atom_site_fract_y
_atom_site_fract_z
Li1 Li 0.000 0.000 0.000
Mg1 Mg 0.045 0.500 0.735
Mg2 Mg 0.106 0.000 0.468
Mg3 Mg 0.153 0.500 0.219
Mg4 Mg 0.180 0.000 0.927
Zn1 Zn 0.222 0.500 0.658
```


*ii*
LiMg8Zn2: optimized geometry, PBE.

Total magnetic moment   0.000 μB/f.u.
Density of states at the Fermi level   3.80 states/eV/f.u.
Mass density   2.3 g/cm³

Geometry as CIF:
```
data_LiMg8Zn2
_chemical_formula_sum 'Li2 Mg16 Zn4'
_cell_length_a 7.782
_cell_length_b 12.854
_cell_length_c 5.129
_cell_angle_alpha 90.00
_cell_angle_beta 112.01
_cell_angle_gamma 90.00
_symmetry_space_group_name_H-M 'C 1 2/m 1'
_symmetry_Int_Tables_number 12
_symmetry_space_group_name_Hall '-C 2y'
loop_
_atom_site_label
_atom_site_type_symbol
_atom_site_fract_x
_atom_site_fract_y
_atom_site_fract_z
Li1 Li 0.000 0.000 0.000
Mg1 Mg 0.000 0.226 0.000
Mg2 Mg 0.107 0.500 0.805
Mg3 Mg 0.207 0.118 0.613
Zn1 Zn 0.000 0.306 0.500
```


Which of them is the most stable? Correct choice: *i*.


*i*
Li7MgZn2: optimized geometry, PBE.

Total magnetic moment   0.000 μB/f.u.
Density of states at the Fermi level   5.50 states/eV/f.u.
Mass density   1.4 g/cm³

Geometry as CIF:
```
data_Li7MgZn2
_chemical_formula_sum 'Li14 Mg2 Zn4'
_cell_length_a 7.382
_cell_length_b 12.721
_cell_length_c 4.990
_cell_angle_alpha 90.00
_cell_angle_beta 90.00
_cell_angle_gamma 90.00
_symmetry_space_group_name_H-M 'C m m m'
_symmetry_Int_Tables_number 65
_symmetry_space_group_name_Hall '-C 2 2'
loop_
_atom_site_label
_atom_site_type_symbol
_atom_site_fract_x
_atom_site_fract_y
_atom_site_fract_z
Li1 Li 0.000 0.000 0.000
Li2 Li 0.000 0.246 0.500
Li3 Li 0.181 0.381 0.000
Mg1 Mg 0.000 0.500 0.500
Zn1 Zn 0.000 0.206 0.000
```


*ii*
Li7MgZn2: optimized geometry, PBE.

Total magnetic moment   0.000 μB/f.u.
Density of states at the Fermi level   5.11 states/eV/f.u.
Mass density   1.9 g/cm³

Geometry as CIF:
```
data_Li7MgZn2
_chemical_formula_sum 'Li7 Mg1 Zn2'
_cell_length_a 4.5738
_cell_length_b 4.5738
_cell_length_c 9.8904
_cell_angle_alpha 90.00
_cell_angle_beta 90.00
_cell_angle_gamma 120.00
_symmetry_space_group_name_H-M 'P 3 m 1'
_symmetry_Int_Tables_number 156
_symmetry_space_group_name_Hall 'P 3 -2"'
loop_
_atom_site_label
_atom_site_type_symbol
_atom_site_fract_x
_atom_site_fract_y
_atom_site_fract_z
Li1 Li 0.0000 0.0000 0.0000
Li2 Li 0.0000 0.0000 0.2531
Li3 Li 0.0000 0.0000 0.7405
Li4 Li 0.3333 0.6667 0.0949
Li5 Li 0.3333 0.6667 0.6851
Li6 Li 0.6667 0.3333 0.2644
Li7 Li 0.6667 0.3333 0.5468
Mg1 Mg 0.6667 0.3333 0.8866
Zn1 Zn 0.0000 0.0000 0.4922
Zn2 Zn 0.3333 0.6667 0.3992
```


Which of them is the most stable? Correct choice: *ii*.


*i*
Li5Mg2Zn2: optimized geometry, PBE.

Total magnetic moment   0.000 μB/f.u.
Density of states at the Fermi level   2.96 states/eV/f.u.
Mass density   2.2 g/cm³

Geometry as CIF:
```
data_Li5Mg2Zn2
_chemical_formula_sum 'Li20 Mg8 Zn8'
_cell_length_a 4.581
_cell_length_b 12.561
_cell_length_c 11.376
_cell_angle_alpha 90.00
_cell_angle_beta 90.00
_cell_angle_gamma 90.00
_symmetry_space_group_name_H-M 'I m m a'
_symmetry_Int_Tables_number 74
_symmetry_space_group_name_Hall '-I 2b 2'
loop_
_atom_site_label
_atom_site_type_symbol
_atom_site_fract_x
_atom_site_fract_y
_atom_site_fract_z
Li1 Li 0.000 0.043 0.166
Li2 Li 0.000 0.146 0.693
Li3 Li 0.000 0.250 0.185
Mg1 Mg 0.000 0.000 0.500
Mg2 Mg 0.000 0.250 0.453
Zn1 Zn 0.000 0.148 0.940
```


*ii*
Li5Mg2Zn2: optimized geometry, PBE.

Total magnetic moment   0.000 μB/f.u.
Density of states at the Fermi level   2.11 states/eV/f.u.
Mass density   2.1 g/cm³

Geometry as CIF:
```
data_Li5Mg2Zn2
_chemical_formula_sum 'Li20 Mg8 Zn8'
_cell_length_a 15.047
_cell_length_b 6.784
_cell_length_c 6.776
_cell_angle_alpha 90.00
_cell_angle_beta 90.00
_cell_angle_gamma 90.00
_symmetry_space_group_name_H-M 'C m c e'
_symmetry_Int_Tables_number 64
_symmetry_space_group_name_Hall '-C 2ac 2'
loop_
_atom_site_label
_atom_site_type_symbol
_atom_site_fract_x
_atom_site_fract_y
_atom_site_fract_z
Li1 Li 0.000 0.000 0.000
Li2 Li 0.121 0.191 0.311
Mg1 Mg 0.232 0.000 0.000
Zn1 Zn 0.000 0.127 0.625
```


Which of them is the most stable? Correct choice: *i*.


*i*
Li2Mg2Zn: optimized geometry, PBE.

Total magnetic moment   0.000 μB/f.u.
Density of states at the Fermi level   1.36 states/eV/f.u.
Mass density   2.3 g/cm³

Geometry as CIF:
```
data_Li2Mg2Zn
_chemical_formula_sum 'Li4 Mg4 Zn2'
_cell_length_a 6.558
_cell_length_b 6.558
_cell_length_c 4.380
_cell_angle_alpha 90.00
_cell_angle_beta 90.00
_cell_angle_gamma 90.00
_symmetry_space_group_name_H-M 'P 4/m b m'
_symmetry_Int_Tables_number 127
_symmetry_space_group_name_Hall '-P 4 2ab'
loop_
_atom_site_label
_atom_site_type_symbol
_atom_site_fract_x
_atom_site_fract_y
_atom_site_fract_z
Li1 Li 0.137 0.363 0.000
Mg1 Mg 0.175 0.675 0.500
Zn1 Zn 0.000 0.000 0.000
```


*ii*
Li2Mg2Zn: optimized geometry, PBE.

Total magnetic moment   0.000 μB/f.u.
Density of states at the Fermi level   2.07 states/eV/f.u.
Mass density   2.1 g/cm³

Geometry as CIF:
```
data_Li2Mg2Zn
_chemical_formula_sum 'Li4 Mg4 Zn2'
_cell_length_a 3.590
_cell_length_b 3.590
_cell_length_c 15.675
_cell_angle_alpha 90.00
_cell_angle_beta 90.00
_cell_angle_gamma 90.00
_symmetry_space_group_name_H-M 'I 4/m m m'
_symmetry_Int_Tables_number 139
_symmetry_space_group_name_Hall '-I 4 2'
loop_
_atom_site_label
_atom_site_type_symbol
_atom_site_fract_x
_atom_site_fract_y
_atom_site_fract_z
Li1 Li 0.000 0.500 0.250
Mg1 Mg 0.000 0.000 0.097
Zn1 Zn 0.000 0.000 0.500
```


Which of them is the most stable? Correct choice: *i*.


*i*
Li2Mg2Zn: optimized geometry, PBE.

Total magnetic moment   0.000 μB/f.u.
Density of states at the Fermi level   1.51 states/eV/f.u.
Mass density   2.2 g/cm³

Geometry as CIF:
```
data_Li2Mg2Zn
_chemical_formula_sum 'Li4 Mg4 Zn2'
_cell_length_a 7.503
_cell_length_b 7.503
_cell_length_c 3.494
_cell_angle_alpha 90.00
_cell_angle_beta 90.00
_cell_angle_gamma 90.00
_symmetry_space_group_name_H-M 'P 4/m b m'
_symmetry_Int_Tables_number 127
_symmetry_space_group_name_Hall '-P 4 2ab'
loop_
_atom_site_label
_atom_site_type_symbol
_atom_site_fract_x
_atom_site_fract_y
_atom_site_fract_z
Li1 Li 0.156 0.344 0.000
Mg1 Mg 0.144 0.644 0.500
Zn1 Zn 0.000 0.000 0.500
```


*ii*
Li2Mg2Zn: optimized geometry, PBE.

Total magnetic moment   0.000 μB/f.u.
Density of states at the Fermi level   2.15 states/eV/f.u.
Mass density   2.3 g/cm³

Geometry as CIF:
```
data_Li2Mg2Zn
_chemical_formula_sum 'Li8 Mg8 Zn4'
_cell_length_a 10.095
_cell_length_b 5.448
_cell_length_c 7.326
_cell_angle_alpha 90.00
_cell_angle_beta 112.95
_cell_angle_gamma 90.00
_symmetry_space_group_name_H-M 'C 1 2/c 1'
_symmetry_Int_Tables_number 15
_symmetry_space_group_name_Hall '-C 2yc'
loop_
_atom_site_label
_atom_site_type_symbol
_atom_site_fract_x
_atom_site_fract_y
_atom_site_fract_z
Li1 Li 0.089 0.146 0.447
Mg1 Mg 0.194 0.381 0.147
Zn1 Zn 0.000 0.312 0.750
```


*iii*
Li2Mg2Zn: optimized geometry, PBE.

Total magnetic moment   0.000 μB/f.u.
Density of states at the Fermi level   1.46 states/eV/f.u.
Mass density   2.3 g/cm³

Geometry as CIF:
```
data_Li2Mg2Zn
_chemical_formula_sum 'Li4 Mg4 Zn2'
_cell_length_a 5.938
_cell_length_b 4.568
_cell_length_c 6.981
_cell_angle_alpha 90.00
_cell_angle_beta 96.58
_cell_angle_gamma 90.00
_symmetry_space_group_name_H-M 'P 1 21/m 1'
_symmetry_Int_Tables_number 11
_symmetry_space_group_name_Hall '-P 2yb'
loop_
_atom_site_label
_atom_site_type_symbol
_atom_site_fract_x
_atom_site_fract_y
_atom_site_fract_z
Li1 Li 0.138 0.250 0.035
Li2 Li 0.305 0.250 0.436
Mg1 Mg 0.232 0.750 0.718
Mg2 Mg 0.439 0.750 0.155
Zn1 Zn 0.040 0.750 0.332
```


Which of them is the most stable? Correct choice: *iii*.